Below is a relaxed Cr2MoCl crystal, with properties calculated at the PBE-GGA level.

Results
formation energy without anion corrections	0.80	eV per atom
space group	No. 123

Cell: 4.3742 4.3742 2.9377 Å, 90.00 90.00 90.00°
Fractional coordinates of all 4 atoms:
1 Cr 0.0000 0.5000 0.0000
2 Cr 0.5000 0.0000 0.0000
3 Mo 0.0000 0.0000 0.5000
4 Cl 0.5000 0.5000 0.5000


Below is a relaxed CrMoCl crystal, with properties calculated at the PBE-GGA level.

Results
formation energy without anion corrections	0.44	eV per atom
space group	No. 107

Cell: 5.9485 5.9485 5.9485 Å, 151.49 151.49 40.76°
Fractional coordinates of all 3 atoms:
1 Cr 0.0000 0.0000 0.0000
2 Mo 0.3552 0.3552 0.0000
3 Cl 0.6911 0.6911 0.0000